The following is a PBE-GGA calculation of NiHg2Pb2 after structural relaxation, from Alexandria via LeMat-Bulk.

The space group is P4/mbm (No. 127) and the conventional cell measures 6.889, 6.889 and 5.381 Å, with angles of 90.00, 90.00 and 90.00 degrees. The inequivalent atoms are Ni at (0.000, 0.000, 0.000), Hg at (0.156, 0.344, 0.000) and Pb at (0.178, 0.678, 0.500).

The total magnetization comes out at 0.0 μB/f.u. Its total energy is -0.1829 Ry per atom.